Entry from the Alexandria database: ZrU5N6 after structural relaxation (PBE).

* raw formation energy: -1.392 eV/atom
* theoretical density: 13.46 Mg/m³
* D(E_F): 45.24 states/eV/cell

a = 5.9102 Å, b = 10.2252 Å, c = 5.9135 Å
α = 90.00°, β = 109.47°, γ = 90.00°
Space group C2/m (No. 12)
Asymmetric unit:
1 Zr 0.0000 0.0000 0.0000 (multiplicity 2)
2 U 0.0000 0.1661 0.5000 (multiplicity 4)
3 U 0.0000 0.3338 0.0000 (multiplicity 4)
4 U 0.0000 0.5000 0.5000 (multiplicity 2)
5 N 0.2444 0.0000 0.7562 (multiplicity 4)
6 N 0.2437 0.1635 0.2424 (multiplicity 8)



Entry from the Alexandria database: ErVIr2 after structural relaxation (PBE).

* theoretical density: 15.05 Mg/m³
* energy above the most stable polymorph in this dataset: 0 meV per atom
* D(E_F): 3.83 states/eV/cell

a = 3.0049 Å, b = 3.0049 Å, c = 7.3645 Å
α = 90.00°, β = 90.00°, γ = 90.00°
Space group P4/mmm (No. 123)
Asymmetric unit:
1 Er 0.0000 0.0000 0.0000 (multiplicity 1)
2 V 0.0000 0.0000 0.5000 (multiplicity 1)
3 Ir 0.5000 0.5000 0.2954 (multiplicity 2)